# Dy3Er6Tm2 (PBE, optimized geometry)
# Formation energy from the elements = 0.26 eV per formula unit
# ΔE to the lowest computed polymorph = 0.0 meV/atom
data_Dy3Er6Tm2
_cell_length_a 3.5076
_cell_length_b 3.5076
_cell_length_c 94.1652
_cell_angle_alpha 90.00
_cell_angle_beta 90.00
_cell_angle_gamma 120.00
_symmetry_space_group_name_H-M 'R -3 m'
_symmetry_Int_Tables_number 166
_symmetry_space_group_name_Hall '-R 3 2"'
loop_
_atom_site_label
_atom_site_type_symbol
_atom_site_fract_x
_atom_site_fract_y
_atom_site_fract_z
Dy1 Dy 0.0000 0.0000 0.0000
Dy2 Dy 0.0000 0.0000 0.2724
Er1 Er 0.0000 0.0000 0.0914
Er2 Er 0.0000 0.0000 0.1818
Er3 Er 0.0000 0.0000 0.3638
Tm1 Tm 0.0000 0.0000 0.4548

# Dy7Er2Tm3 (PBE, optimized geometry)
# Formation energy from the elements = 1.40 eV per formula unit
# ΔE to the lowest computed polymorph = 0.0 meV/atom
data_Dy7Er2Tm3
_cell_length_a 5.6332
_cell_length_b 37.2155
_cell_length_c 3.5573
_cell_angle_alpha 90.00
_cell_angle_beta 90.00
_cell_angle_gamma 90.00
_symmetry_space_group_name_H-M 'C m m m'
_symmetry_Int_Tables_number 65
_symmetry_space_group_name_Hall '-C 2 2'
loop_
_atom_site_label
_atom_site_type_symbol
_atom_site_fract_x
_atom_site_fract_y
_atom_site_fract_z
Dy1 Dy 0.0000 0.0000 0.0000
Dy2 Dy 0.0000 0.0721 0.5000
Dy3 Dy 0.0000 0.2315 0.0000
Dy4 Dy 0.0000 0.4075 0.0000
Er1 Er 0.0000 0.1481 0.0000
Tm1 Tm 0.0000 0.3152 0.5000
Tm2 Tm 0.0000 0.5000 0.5000

# Dy7Er4Tm (PBE, optimized geometry)
# Formation energy from the elements = 1.09 eV per formula unit
# ΔE to the lowest computed polymorph = 0.0 meV/atom
data_Dy7Er4Tm
_cell_length_a 6.4278
_cell_length_b 6.7267
_cell_length_c 8.9749
_cell_angle_alpha 86.24
_cell_angle_beta 76.66
_cell_angle_gamma 82.14
_symmetry_space_group_name_H-M 'P -1'
_symmetry_Int_Tables_number 2
loop_
_symmetry_equiv_pos_as_xyz
'x,y,z'
'-x,-y,-z'
loop_
_atom_site_label
_atom_site_type_symbol
_atom_site_fract_x
_atom_site_fract_y
_atom_site_fract_z
Dy1 Dy 0.0000 0.0000 0.0000
Dy2 Dy 0.1920 0.6053 0.3872
Dy3 Dy 0.3137 0.2015 0.6408
Dy4 Dy 0.4865 0.7487 0.0517
Er1 Er 0.1599 0.1149 0.3115
Er2 Er 0.3580 0.6940 0.7160
Tm1 Tm 0.0000 0.5000 0.0000

# Dy7Er3Tm2 (PBE, optimized geometry)
# Formation energy from the elements = 0.94 eV per formula unit
# ΔE to the lowest computed polymorph = 0.0 meV/atom
data_Dy7Er3Tm2
_cell_length_a 6.2593
_cell_length_b 3.4817
_cell_length_c 17.2110
_cell_angle_alpha 90.00
_cell_angle_beta 96.12
_cell_angle_gamma 90.00
_symmetry_space_group_name_H-M 'P 1 2/m 1'
_symmetry_Int_Tables_number 10
loop_
_symmetry_equiv_pos_as_xyz
'x,y,z'
'-x,-y,-z'
'-x,y,-z'
'x,-y,z'
loop_
_atom_site_label
_atom_site_type_symbol
_atom_site_fract_x
_atom_site_fract_y
_atom_site_fract_z
Dy1 Dy 0.0000 0.0000 0.0000
Dy2 Dy 0.2242 0.5000 0.1689
Dy3 Dy 0.2553 0.5000 0.4981
Dy4 Dy 0.2745 0.0000 0.8334
Er1 Er 0.4496 0.0000 0.3422
Er2 Er 0.5000 0.5000 0.0000
Tm1 Tm 0.0598 0.5000 0.6724

# Dy7Er4Tm (PBE, optimized geometry)
# Formation energy from the elements = 3.59 eV per formula unit
# ΔE to the lowest computed polymorph = 208.2 meV/atom
data_Dy7Er4Tm
_cell_length_a 11.9053
_cell_length_b 5.8227
_cell_length_c 12.5571
_cell_angle_alpha 90.00
_cell_angle_beta 118.17
_cell_angle_gamma 90.00
_symmetry_space_group_name_H-M 'C 1 2/m 1'
_symmetry_Int_Tables_number 12
loop_
_symmetry_equiv_pos_as_xyz
'x,y,z'
'-x,-y,-z'
'-x,y,-z'
'x,-y,z'
'x+1/2,y+1/2,z'
'-x+1/2,-y+1/2,-z'
'-x+1/2,y+1/2,-z'
'x+1/2,-y+1/2,z'
loop_
_atom_site_label
_atom_site_type_symbol
_atom_site_fract_x
_atom_site_fract_y
_atom_site_fract_z
Dy1 Dy 0.0000 0.0000 0.0000
Dy2 Dy 0.1331 0.5000 0.4999
Dy3 Dy 0.2121 0.0000 0.9241
Dy4 Dy 0.2440 0.0000 0.6820
Er1 Er 0.0618 0.0000 0.3194
Er2 Er 0.1364 0.5000 0.7753
Tm1 Tm 0.0000 0.5000 0.0000

# DyEr3Tm6 (PBE, optimized geometry)
# Formation energy from the elements = 1.26 eV per formula unit
# ΔE to the lowest computed polymorph = 0.0 meV/atom
data_DyEr3Tm6
_cell_length_a 9.4576
_cell_length_b 20.5992
_cell_length_c 6.2684
_cell_angle_alpha 90.00
_cell_angle_beta 90.00
_cell_angle_gamma 90.00
_symmetry_space_group_name_H-M 'C m c 21'
_symmetry_Int_Tables_number 36
loop_
_symmetry_equiv_pos_as_xyz
'x,y,z'
'-x,-y,z+1/2'
'-x,y,z'
'x,-y,z+1/2'
'x+1/2,y+1/2,z'
'-x+1/2,-y+1/2,z+1/2'
'-x+1/2,y+1/2,z'
'x+1/2,-y+1/2,z+1/2'
loop_
_atom_site_label
_atom_site_type_symbol
_atom_site_fract_x
_atom_site_fract_y
_atom_site_fract_z
Dy1 Dy 0.0000 0.1621 0.0000
Er1 Er 0.0000 0.4198 0.9208
Er2 Er 0.1693 0.1269 0.5255
Tm1 Tm 0.0000 0.0148 0.1960
Tm2 Tm 0.0000 0.3015 0.2300
Tm3 Tm 0.1767 0.2810 0.6859
Tm4 Tm 0.1821 0.4394 0.4478

# Dy3Er7Tm (PBE, optimized geometry)
# Formation energy from the elements = 3.16 eV per formula unit
# ΔE to the lowest computed polymorph = 130.4 meV/atom
data_Dy3Er7Tm
_cell_length_a 12.4197
_cell_length_b 11.0475
_cell_length_c 5.7248
_cell_angle_alpha 90.00
_cell_angle_beta 117.39
_cell_angle_gamma 90.00
_symmetry_space_group_name_H-M 'C 1 2/m 1'
_symmetry_Int_Tables_number 12
loop_
_symmetry_equiv_pos_as_xyz
'x,y,z'
'-x,-y,-z'
'-x,y,-z'
'x,-y,z'
'x+1/2,y+1/2,z'
'-x+1/2,-y+1/2,-z'
'-x+1/2,y+1/2,-z'
'x+1/2,-y+1/2,z'
loop_
_atom_site_label
_atom_site_type_symbol
_atom_site_fract_x
_atom_site_fract_y
_atom_site_fract_z
Dy1 Dy 0.0000 0.0000 0.0000
Dy2 Dy 0.0000 0.2089 0.5000
Er1 Er 0.0000 0.5000 0.5000
Er2 Er 0.2007 0.2001 0.2004
Er3 Er 0.2075 0.0000 0.7063
Tm1 Tm 0.0000 0.5000 0.0000

# Dy3ErTm3 (PBE, optimized geometry)
# Formation energy from the elements = 0.03 eV per formula unit
# ΔE to the lowest computed polymorph = 0.0 meV/atom
data_Dy3ErTm3
_cell_length_a 9.4668
_cell_length_b 9.4668
_cell_length_c 5.5761
_cell_angle_alpha 90.00
_cell_angle_beta 90.00
_cell_angle_gamma 120.00
_symmetry_space_group_name_H-M 'P 63/m'
_symmetry_Int_Tables_number 176
_symmetry_space_group_name_Hall '-P 6c'
loop_
_atom_site_label
_atom_site_type_symbol
_atom_site_fract_x
_atom_site_fract_y
_atom_site_fract_z
Dy1 Dy 0.0480 0.2398 0.2500
Er1 Er 0.3333 0.6667 0.2500
Tm1 Tm 0.0950 0.4766 0.7500